No. 1
First-principles (PBE-GGA) data for NbReGe after structural relaxation, as listed in the Alexandria database.

Values from the calculation:
total magnetization: 0.0 μB per formula unit
energy above the most stable polymorph in this dataset: 0 meV/atom
crystal system: orthorhombic

a b c (Å): 6.8503 7.1490 7.6932
angles (deg): 117.69 116.44 90.00
Closest atoms and distances in Å follow each position.
Atoms (fractional coordinates):
Nb: 0.7534 0.0330 0.5659  5 Ge 2.66-2.73
Nb: 0.1875 0.9670 0.4341  5 Ge 2.66-2.73
Nb: 0.3434 0.7521 0.0042  5 Ge 2.73-2.77, 4 Re 2.88-2.92
Nb: 0.3392 0.2479 0.9958  5 Ge 2.73-2.77, 4 Re 2.88-2.92
Nb: 0.1490 0.4424 0.3847  4 Ge 2.72-2.77, 6 Re 2.81-2.90
Nb: 0.7642 0.5576 0.6153  4 Ge 2.72-2.77, 6 Re 2.81-2.90
Re: 0.0036 0.0000 0.0000  4 Ge 2.56-2.63
Re: 0.0036 0.5000 0.0000  4 Ge 2.56-2.63
Re: 0.5008 0.4166 0.7480  4 Ge 2.48-2.60
Re: 0.7529 0.5834 0.2520  4 Ge 2.48-2.60
Re: 0.7529 0.1686 0.2520  4 Ge 2.48-2.60
Re: 0.5008 0.8314 0.7480  4 Ge 2.48-2.60
Ge: 0.7077 0.2157 0.9313  6 Re 2.48-2.56, 2 Nb 2.66-2.77
Ge: 0.7764 0.7843 0.0687  6 Re 2.48-2.56, 2 Nb 2.66-2.77
Ge: 0.4239 0.1723 0.3358  3 Re 2.60-2.63, 6 Nb 2.70-2.77
Ge: 0.0881 0.8277 0.6642  3 Re 2.60-2.63, 6 Nb 2.70-2.77
Ge: 0.0881 0.3365 0.6642  3 Re 2.60-2.63, 6 Nb 2.70-2.77
Ge: 0.4239 0.6635 0.3358  3 Re 2.60-2.63, 6 Nb 2.70-2.77

---

No. 2
First-principles (PBE-GGA) data for Nb2ReGe4 after structural relaxation, as listed in the Alexandria database.

Values from the calculation:
total magnetization: 0.0 μB per formula unit
energy above the most stable polymorph in this dataset: 557 meV/atom
crystal system: tetragonal

a b c (Å): 4.7962 4.7962 7.3005
angles (deg): 70.82 70.82 90.00
Closest atoms and distances in Å follow each position.
Atoms (fractional coordinates):
Re: 0.0000 0.0000 0.0000  6 Ge 2.40-2.53
Nb: 0.3996 0.3996 0.2009  1 Nb 2.60, 5 Ge 2.64-2.73
Nb: 0.6004 0.6004 0.7991  1 Nb 2.60, 5 Ge 2.64-2.73
Ge: 0.1958 0.1958 0.6085  1 Re 2.53, 1 Nb 2.64
Ge: 0.8042 0.8042 0.3915  1 Re 2.53, 1 Nb 2.64
Ge: 0.0000 0.5000 0.0000  2 Re 2.40
Ge: 0.5000 0.0000 0.0000  2 Re 2.40

---

No. 3
First-principles (PBE-GGA) data for Nb2ReGe3 after structural relaxation, as listed in the Alexandria database.

Values from the calculation:
total magnetization: 0.0 μB per formula unit
E_tot: -7.535 eV per atom
crystal system: orthorhombic

a b c (Å): 4.0243 5.2329 6.0005
angles (deg): 115.85 109.59 90.00
Closest atoms and distances in Å follow each position.
Atoms (fractional coordinates):
Nb: 0.6812 0.1812 0.3623  6 Ge 2.62-2.71
Nb: 0.3188 0.8188 0.6377  6 Ge 2.62-2.71
Re: 0.0000 0.5000 0.0000  6 Ge 2.52-2.62
Ge: 0.3480 0.3480 0.6959  2 Re 2.52, 4 Nb 2.62-2.63
Ge: 0.0000 0.0000 0.0000  2 Re 2.62, 4 Nb 2.71
Ge: 0.6520 0.6520 0.3041  2 Re 2.52, 4 Nb 2.62-2.63

---

No. 4
First-principles (PBE-GGA) data for Nb2Re2Ge after structural relaxation, as listed in the Alexandria database.

Values from the calculation:
total magnetization: 0.0 μB per formula unit
energy above the most stable polymorph in this dataset: 97 meV/atom
crystal system: tetragonal

a b c (Å): 7.7394 7.7394 3.0142
angles (deg): 90.00 90.00 90.00
Closest atoms and distances in Å follow each position.
Atoms (fractional coordinates):
Re: 0.1438 0.6438 0.5000  6 Nb 2.71-2.73, 2 Re 3.01
Re: 0.6438 0.8562 0.5000  6 Nb 2.71-2.73, 2 Re 3.01
Re: 0.8562 0.3562 0.5000  6 Nb 2.71-2.73, 2 Re 3.01
Re: 0.3562 0.1438 0.5000  6 Nb 2.71-2.73, 2 Re 3.01
Nb: 0.3498 0.8498 0.0000  6 Re 2.71-2.73, 2 Ge 2.95, 2 Nb 3.01
Nb: 0.8498 0.6502 0.0000  6 Re 2.71-2.73, 2 Ge 2.95, 2 Nb 3.01
Nb: 0.6502 0.1502 0.0000  6 Re 2.71-2.73, 2 Ge 2.95, 2 Nb 3.01
Nb: 0.1502 0.3498 0.0000  6 Re 2.71-2.73, 2 Ge 2.95, 2 Nb 3.01
Ge: 0.0000 0.0000 0.0000  4 Nb 2.95, 2 Ge 3.01
Ge: 0.5000 0.5000 0.0000  4 Nb 2.95, 2 Ge 3.01

---

No. 5
First-principles (PBE-GGA) data for NbReGe after structural relaxation, as listed in the Alexandria database.

Values from the calculation:
total magnetization: 0.0 μB per formula unit
energy above the most stable polymorph in this dataset: 140 meV/atom
crystal system: trigonal

a b c (Å): 2.8421 4.4471 4.4471
angles (deg): 120.00 90.00 90.00
Closest atoms and distances in Å follow each position.
Atoms (fractional coordinates):
Re: 0.1336 0.0000 0.0000  3 Ge 2.57, 2 Re 2.84, 3 Nb 2.84
Nb: 0.7031 0.3333 0.6667  2 Nb 2.84, 6 Re 2.84-3.04, 6 Ge 2.88-2.99
Ge: 0.1633 0.6667 0.3333  3 Re 2.57, 2 Ge 2.84

---

No. 6
First-principles (PBE-GGA) data for Nb2Re2Ge after structural relaxation, as listed in the Alexandria database.

Values from the calculation:
total magnetization: 0.0 μB per formula unit
energy above the most stable polymorph in this dataset: 0 meV/atom
crystal system: tetragonal

a b c (Å): 3.4813 3.4813 7.9477
angles (deg): 77.35 77.35 90.00
Closest atoms and distances in Å follow each position.
Atoms (fractional coordinates):
Re: 0.7500 0.2500 0.5000  4 Re 2.46
Re: 0.2500 0.7500 0.5000  4 Re 2.46
Nb: 0.4024 0.4024 0.1952  4 Ge 2.87, 4 Re 2.89, 1 Nb 2.95
Nb: 0.5976 0.5976 0.8048  4 Ge 2.87, 4 Re 2.89, 1 Nb 2.95
Ge: 0.0000 0.0000 0.0000  8 Nb 2.87

---

No. 7
First-principles (PBE-GGA) data for Nb2ReGe after structural relaxation, as listed in the Alexandria database.

Values from the calculation:
total magnetization: 0.0 μB per formula unit
E_tot: -9.230 eV per atom
crystal system: trigonal

a b c (Å): 3.0102 3.0102 8.8988
angles (deg): 80.26 80.26 60.00
Closest atoms and distances in Å follow each position.
Atoms (fractional coordinates):
Re: 0.0000 0.0000 0.0000  6 Nb 2.75, 6 Re 3.01
Nb: 0.7482 0.7482 0.7555  3 Re 2.75, 3 Ge 2.83, 6 Nb 3.01
Nb: 0.2518 0.2518 0.2445  3 Re 2.75, 3 Ge 2.83, 6 Nb 3.01
Ge: 0.5000 0.5000 0.5000  6 Nb 2.83, 6 Ge 3.01

---

No. 8
First-principles (PBE-GGA) data for NbReGeRu after structural relaxation, as listed in the Alexandria database.

Values from the calculation:
total magnetization: 0.0 μB per formula unit
E_tot: -9.269 eV per atom
crystal system: cubic

a b c (Å): 4.4249 4.4249 4.4249
angles (deg): 60.00 60.00 60.00
Closest atoms and distances in Å follow each position.
Atoms (fractional coordinates):
Re: 0.2500 0.2500 0.2500  4 Ge 2.71, 4 Nb 2.71
Nb: 0.0000 0.0000 0.0000  4 Re 2.71, 4 Ru 2.71
Ge: 0.5000 0.5000 0.5000  4 Re 2.71, 4 Ru 2.71
Ru: 0.7500 0.7500 0.7500  4 Nb 2.71, 4 Ge 2.71

---

No. 9
First-principles (PBE-GGA) data for SrNbRe2Ge after structural relaxation, as listed in the Alexandria database.

Values from the calculation:
total magnetization: 0.1 μB per formula unit
E_tot: -7.017 eV per atom
crystal system: tetragonal

a b c (Å): 4.7321 4.7321 4.8799
angles (deg): 90.00 90.00 90.00
Closest atoms and distances in Å follow each position.
Atoms (fractional coordinates):
Re: 0.0000 0.5000 0.0000  2 Ge 2.37
Re: 0.5000 0.0000 0.0000  2 Ge 2.37
Nb: 0.0000 0.0000 0.5000  2 Ge 2.44
Ge: 0.0000 0.0000 0.0000  4 Re 2.37, 2 Nb 2.44
Sr: 0.5000 0.5000 0.5000  4 Nb 3.35, 8 Re 3.40

---

No. 10
First-principles (PBE-GGA) data for NbReTcGe after structural relaxation, as listed in the Alexandria database.

Values from the calculation:
total magnetization: 0.0 μB per formula unit
E_tot: -9.478 eV per atom
crystal system: cubic

a b c (Å): 4.4403 4.4403 4.4403
angles (deg): 60.00 60.00 60.00
Closest atoms and distances in Å follow each position.
Atoms (fractional coordinates):
Re: 0.5000 0.5000 0.5000  4 Ge 2.72, 4 Nb 2.72
Nb: 0.2500 0.2500 0.2500  4 Re 2.72, 4 Tc 2.72
Ge: 0.7500 0.7500 0.7500  4 Tc 2.72, 4 Re 2.72
Tc: 0.0000 0.0000 0.0000  4 Nb 2.72, 4 Ge 2.72

---

No. 11
First-principles (PBE-GGA) data for NbGe2Rh after structural relaxation, as listed in the Alexandria database.

Values from the calculation:
total magnetization: 0.0 μB per formula unit
E_tot: -7.003 eV per atom
crystal system: tetragonal

a b c (Å): 3.0930 4.4946 4.4946
angles (deg): 90.00 90.00 90.00
Closest atoms and distances in Å follow each position.
Atoms (fractional coordinates):
Nb: 0.5000 0.0000 0.0000  8 Ge 2.73
Rh: 0.5000 0.5000 0.5000  8 Ge 2.73
Ge: 0.0000 0.0000 0.5000  4 Rh 2.73, 4 Nb 2.73
Ge: 0.0000 0.5000 0.0000  4 Rh 2.73, 4 Nb 2.73

---

No. 12
First-principles (PBE-GGA) data for NbGeRh3 after structural relaxation, as listed in the Alexandria database.

Values from the calculation:
total magnetization: 0.0 μB per formula unit
energy above the most stable polymorph in this dataset: 1413 meV/atom
crystal system: cubic

a b c (Å): 4.7364 4.7364 4.7364
angles (deg): 90.00 90.00 90.00
Closest atoms and distances in Å follow each position.
Atoms (fractional coordinates):
Nb: 0.0000 0.0000 0.0000  6 Rh 2.37
Rh: 0.0000 0.5000 0.0000  2 Nb 2.37
Rh: 0.0000 0.0000 0.5000  2 Nb 2.37
Rh: 0.5000 0.0000 0.0000  2 Nb 2.37
Ge: 0.5000 0.5000 0.5000  12 Rh 3.35